Entry i
Entry from Alexandria via LeMat-Bulk: Tb6Pm2Dy3 after structural relaxation (PBE-GGA).

abc: 6.138 6.138 11.708
angles: 95.08 95.08 120.08
Positions (direct):
Tb 0.083 0.416 0.248
Tb 0.250 0.250 0.752
Tb 0.416 0.083 0.248
Tb 0.584 0.917 0.752
Tb 0.750 0.750 0.248
Tb 0.917 0.584 0.752
Pm 0.167 0.833 0.500
Pm 0.833 0.167 0.500
Dy 0.000 0.000 0.000
Dy 0.335 0.665 0.000
Dy 0.665 0.335 0.000

As for the crystal system: monoclinic.

=====

Entry ii
Entry from Alexandria via LeMat-Bulk: Tb6Pm2Dy3 after structural relaxation (PBE-GGA).

abc: 17.000 17.000 17.000
angles: 163.97 163.97 22.75
Positions (direct):
Tb 0.122 0.622 0.500
Tb 0.197 0.197 0.000
Tb 0.378 0.878 0.500
Tb 0.622 0.122 0.500
Tb 0.803 0.803 0.000
Tb 0.878 0.378 0.500
Pm 0.046 0.046 0.000
Pm 0.954 0.954 0.000
Dy 0.299 0.299 0.000
Dy 0.500 0.500 0.000
Dy 0.701 0.701 0.000

As for the crystal system: tetragonal.

=====

Relative energies in meV per atom: entry i 0; entry ii 91

=====

Entry i
Entry from Alexandria via LeMat-Bulk: Tb3Pm2Dy5 after structural relaxation (PBE-GGA).

abc: 9.597 9.597 9.399
angles: 108.11 108.11 112.83
Positions (direct):
Tb 0.021 0.979 0.750
Tb 0.220 0.464 0.452
Tb 0.464 0.220 0.952
Tb 0.536 0.780 0.048
Tb 0.780 0.536 0.548
Tb 0.979 0.021 0.250
Pm 0.012 0.268 0.047
Pm 0.268 0.012 0.547
Pm 0.732 0.988 0.453
Pm 0.988 0.732 0.953
Dy 0.147 0.392 0.784
Dy 0.231 0.769 0.750
Dy 0.275 0.725 0.250
Dy 0.392 0.147 0.284
Dy 0.473 0.527 0.250
Dy 0.527 0.473 0.750
Dy 0.608 0.853 0.716
Dy 0.725 0.275 0.750
Dy 0.769 0.231 0.250
Dy 0.853 0.608 0.216

As for the crystal system: monoclinic.

=====

Entry ii
Entry from Alexandria via LeMat-Bulk: Tb3Pm2Dy5 after structural relaxation (PBE-GGA).

abc: 6.783 9.369 11.473
angles: 109.74 104.94 94.64
Positions (direct):
Tb 0.113 0.428 0.355
Tb 0.273 0.852 0.946
Tb 0.373 0.074 0.753
Tb 0.627 0.926 0.247
Tb 0.727 0.148 0.054
Tb 0.887 0.572 0.645
Pm 0.138 0.033 0.248
Pm 0.408 0.675 0.669
Pm 0.592 0.325 0.331
Pm 0.862 0.967 0.752
Dy 0.056 0.816 0.448
Dy 0.180 0.636 0.140
Dy 0.226 0.246 0.039
Dy 0.320 0.461 0.845
Dy 0.456 0.258 0.561
Dy 0.544 0.742 0.439
Dy 0.680 0.539 0.155
Dy 0.774 0.754 0.961
Dy 0.820 0.364 0.860
Dy 0.944 0.184 0.552

As for the crystal system: triclinic.

=====

Relative energies in meV per atom: entry i 137; entry ii 0